VASP calculation (PBE) on a relaxed PrPaHgAu crystal.

POSCAR file:
```
PrPaHgAu
1.0
5.286 0.000 0.000
2.643 4.578 0.000
2.643 1.526 4.316
Au Pr Pa Hg
1 1 1 1
direct
0.000 0.000 0.000
0.250 0.250 0.250
0.750 0.750 0.750
0.500 0.500 0.500
```

The calculation puts the energy of formation at -0.71 eV/f.u.